1.
DFT (PBE) results for a geometry-optimized AgOsBr2 structure.

The space group is R-3m (No. 166, hexagonal axes) and the conventional cell measures 3.7277, 3.7277 and 27.5401 Å, with angles of 90.00, 90.00 and 120.00 degrees. Symmetry generates all atoms from Ag at (0.0000, 0.0000, 0.0000), Os at (0.0000, 0.0000, 0.5000) and Br at (0.0000, 0.0000, 0.1188).

The size of the total moment is 0.00 μB per atom. Its total DFT energy (no corrections) is -3.698 eV per atom. The value obtained for the formation energy (no corrections) is 0.66 eV/atom. For the energy relative to the lowest polymorph listed for this composition, the calculation gives 200 meV/atom.

---

2.
DFT (PBE) results for a geometry-optimized AgOs2Br structure.

The space group is P4/mmm (No. 123) and the conventional cell measures 2.894, 2.894 and 7.745 Å, with angles of 90.00, 90.00 and 90.00 degrees. Symmetry generates all atoms from Ag at (0.000, 0.000, 0.000), Os at (0.500, 0.500, 0.258) and Br at (0.000, 0.000, 0.500).

The size of the total moment is 0.00 μB per atom. Its total DFT energy (no corrections) is -5.235 eV per atom. The value obtained for the formation energy (no corrections) is 1.51 eV/atom. For the energy relative to the lowest polymorph listed for this composition, the calculation gives 969 meV/atom.

---

3.
DFT (PBE) results for a geometry-optimized AgOs4Br structure.

The space group is F-43m (No. 216) and the conventional cell measures 7.454, 7.454 and 7.454 Å, with angles of 90.00, 90.00 and 90.00 degrees. Symmetry generates all atoms from Ag at (0.000, 0.000, 0.000), Os at (0.125, 0.125, 0.375) and Br at (0.250, 0.250, 0.750).

The size of the total moment is 0.35 μB per atom. Its total DFT energy (no corrections) is -6.795 eV per atom. The value obtained for the formation energy (no corrections) is 1.45 eV/atom.

---

4.
DFT (PBE) results for a geometry-optimized AgOsBr2 structure.

The space group is R3m (No. 160, hexagonal axes) and the conventional cell measures 3.7685, 3.7685 and 22.7805 Å, with angles of 90.00, 90.00 and 120.00 degrees. Symmetry generates all atoms from Ag at (0.0000, 0.0000, 0.0000), Os at (0.0000, 0.0000, 0.2560), Br at (0.0000, 0.0000, 0.5427) and Br at (0.0000, 0.0000, 0.7389).

The size of the total moment is 0.00 μB per atom. Its total DFT energy (no corrections) is -3.796 eV per atom. The value obtained for the formation energy (no corrections) is 0.56 eV/atom. For the energy relative to the lowest polymorph listed for this composition, the calculation gives 102 meV/atom.

---

5.
DFT (PBE) results for a geometry-optimized AgOs2Br structure.

The space group is Cmmm (No. 65) and the conventional cell measures 5.805, 7.850 and 2.864 Å, with angles of 90.00, 90.00 and 90.00 degrees. Symmetry generates all atoms from Ag at (0.000, 0.000, 0.000), Os at (0.250, 0.250, 0.500) and Br at (0.000, 0.500, 0.000).

The size of the total moment is 0.00 μB per atom. Its total DFT energy (no corrections) is -5.180 eV per atom. The value obtained for the formation energy (no corrections) is 1.57 eV/atom. For the energy relative to the lowest polymorph listed for this composition, the calculation gives 1024 meV/atom.

---

6.
DFT (PBE) results for a geometry-optimized AgOsBr2 structure.

The space group is Pmmm (No. 47) and the conventional cell measures 3.184, 4.331 and 6.528 Å, with angles of 90.00, 90.00 and 90.00 degrees. Symmetry generates all atoms from Ag at (0.000, 0.000, 0.000), Os at (0.500, 0.000, 0.500), Br at (0.000, 0.500, 0.500) and Br at (0.500, 0.500, 0.000).

The size of the total moment is 0.52 μB per atom. Its total DFT energy (no corrections) is -3.324 eV per atom. The value obtained for the formation energy (no corrections) is 1.03 eV/atom. For the energy relative to the lowest polymorph listed for this composition, the calculation gives 574 meV/atom.

---

- Which formula does entry 6 have?
  AgOsBr2

---

- What is the formula in the third record?
  AgOs4Br

---

- The highest formation energy (no corrections) belongs to which entry?
  number 5